Material: FePbO2
Method: DFT, PBE+U
State: relaxed

abc: 6.833 3.058 5.765
angles: 90.00 96.97 90.00
Atoms (fractional coordinates):
Fe1 0.000 0.245 0.250
Fe2 0.000 0.755 0.750
Pb1 0.500 0.500 0.000
Pb2 0.500 0.500 0.500
O1 0.150 0.256 0.936
O2 0.150 0.744 0.436
O3 0.850 0.256 0.564
O4 0.850 0.744 0.064

ρ, g cm⁻³: 8.19
Crystal system: monoclinic
Spin magnetization, μB/cell: 9.9
DFT total energy, eV per atom: -5.81